# 1
# Y2ZnGa3

An optimized crystal structure of Y2ZnGa3 (PBE, Alexandria).

```
6
Lattice="0.013 0.778 4.297 -5.251 -0.295 2.288 0.599 -4.799 3.086" Properties=species:S:1:pos:R:3 pbc="T T T"
Y -3.786 -1.033 4.636
Ga -3.878 -4.130 5.197
Ga -0.781 -0.218 4.479
Zn -1.545 -1.557 2.505
Ga -3.073 -2.726 7.159
Y -0.852 -3.285 5.035
```

Summary:
- calculated total energy (Ry/atom) = -0.3308
- space-group type = Cm (8)
- DFT formation energy (eV per atom) = -0.62

=====

# 2
# LaY2Cu9

An optimized crystal structure of LaY2Cu9 (PBE, Alexandria).

```
24
Lattice="5.298 0.000 0.000 -2.649 4.588 0.000 0.000 0.000 16.405" Properties=species:S:1:pos:R:3 pbc="T T T"
Y 0.000 3.059 15.862
Cu -1.325 3.824 2.058
Cu 2.649 3.060 14.347
Cu 0.000 0.000 0.000
Y 2.649 1.529 0.543
Cu 1.325 3.824 2.058
Cu 0.000 0.000 8.203
Cu 0.000 0.000 4.101
Cu 0.000 1.528 2.058
Cu 0.000 1.528 6.144
Cu 1.324 0.764 10.261
Cu 0.000 0.000 12.304
Cu 3.975 0.764 14.347
Y 0.000 3.059 8.745
Cu 1.324 0.764 14.347
La 2.649 1.529 4.101
Cu 1.325 3.824 6.144
Y 2.649 1.529 7.660
La 0.000 3.059 12.304
Cu 0.000 3.059 4.101
Cu 3.975 0.764 10.261
Cu 2.649 1.529 12.304
Cu 2.649 3.060 10.261
Cu -1.325 3.824 6.144
```

Summary:
- calculated total energy (Ry/atom) = -0.3480
- space-group type = P6_3/mmc (194)
- DFT formation energy (eV per atom) = -0.17